Tb3MgSc7 | PBE | relaxed

The formation energy comes out at 218 meV per atom. For the magnetization, the calculation gives 0.0 μB per formula unit.

a b c (Å): 8.132 6.588 6.588
angles (deg): 120.00 90.00 90.00
Fractional positions:
Tb 0.788 0.501 0.003
Tb 0.788 0.997 0.499
Sc 0.123 0.667 0.333
Sc 0.438 0.830 0.170
Sc 0.438 0.830 0.660
Sc 0.438 0.340 0.170
Tb 0.788 0.501 0.499
Mg 0.438 0.333 0.667
Sc 0.126 0.668 0.834
Sc 0.126 0.166 0.834
Sc 0.126 0.166 0.332